## TmNpCu2O8 (PBE)

Data for TmNpCu2O8 after structural relaxation.

Cell: 5.8421 5.8421 5.8421 Å, 109.67 109.67 109.07°
Last column: nearest neighbours and their distance in Å.
Sites, in units of the cell vectors:
Np: 0.0000 0.0000 0.0000  4 O 2.05
Tm: 0.2500 0.7500 0.5000  8 O 2.21-2.41
Cu: 0.7500 0.2500 0.5000  4 O 1.93
O: 0.5319 0.7058 0.8261  1 Cu 1.82
O: 0.2942 0.1204 0.8261  1 Cu 1.82
O: 0.8796 0.7058 0.1739  1 Cu 1.82
O: 0.9545 0.6535 0.6989  1 Cu 1.93, 1 Np 2.05
O: 0.3465 0.0455 0.3011  1 Cu 1.93, 1 Np 2.05
O: 0.9545 0.2556 0.3011  1 Cu 1.93, 1 Np 2.05
Cu: 0.5000 0.5000 0.0000  4 O 1.82
O: 0.2942 0.4681 0.1739  1 Cu 1.82
O: 0.7444 0.0455 0.6989  1 Cu 1.93, 1 Np 2.05

Output
The formation energy from raw total energies comes out at -1.665 eV/atom. The calculation puts the spin magnetization at 0.1 μB/f.u.

=====

## TmNpCuO6 (PBE)

Data for TmNpCuO6 after structural relaxation.

Cell: 5.6121 5.6121 8.6782 Å, 90.00 90.00 120.00°
Last column: nearest neighbours and their distance in Å.
Sites, in units of the cell vectors:
O: 0.0274 0.6730 0.3710  1 Np 2.03, 1 Cu 2.22, 1 Tm 2.23
Tm: 0.6667 0.3333 0.2500  6 O 2.23
O: 0.6456 0.6730 0.1290  1 Np 2.03, 1 Cu 2.22, 1 Tm 2.23
Tm: 0.3333 0.6667 0.7500  6 O 2.23
O: 0.6456 0.9726 0.3710  1 Np 2.03, 1 Cu 2.22, 1 Tm 2.23
O: 0.3270 0.3544 0.3710  1 Np 2.03, 1 Cu 2.22, 1 Tm 2.23
O: 0.3544 0.3270 0.8710  1 Np 2.03, 1 Cu 2.22, 1 Tm 2.23
O: 0.6730 0.6456 0.6290  1 Np 2.03, 1 Cu 2.22, 1 Tm 2.23
O: 0.9726 0.3270 0.6290  1 Np 2.03, 1 Cu 2.22, 1 Tm 2.23
O: 0.3544 0.0274 0.6290  1 Np 2.03, 1 Cu 2.22, 1 Tm 2.23
O: 0.3270 0.9726 0.1290  1 Np 2.03, 1 Cu 2.22, 1 Tm 2.23
Np: 0.6667 0.3333 0.7500  6 O 2.03
O: 0.0274 0.3544 0.1290  1 Np 2.03, 1 Cu 2.22, 1 Tm 2.23
Cu: 0.0000 0.0000 0.5000  6 O 2.22
O: 0.6730 0.0274 0.8710  1 Np 2.03, 1 Cu 2.22, 1 Tm 2.23
Np: 0.3333 0.6667 0.2500  6 O 2.03
Cu: 0.0000 0.0000 0.0000  6 O 2.22
O: 0.9726 0.6456 0.8710  1 Np 2.03, 1 Cu 2.22, 1 Tm 2.23

Output
The formation energy from raw total energies comes out at -2.207 eV/atom. The calculation puts the spin magnetization at 1.0 μB/f.u.

=====

## NpUCuO6 (PBE)

Data for NpUCuO6 after structural relaxation.

Cell: 5.8021 5.8021 8.8806 Å, 90.00 90.00 120.00°
Last column: nearest neighbours and their distance in Å.
Sites, in units of the cell vectors:
O: 0.3566 0.3526 0.3641  1 U 2.12, 1 Np 2.15
O: 0.3566 0.0040 0.1359  1 U 2.12, 1 Np 2.15
O: 0.9960 0.6434 0.3641  1 U 2.12, 1 Np 2.15
Cu: 0.0000 0.0000 0.5000  6 O 2.39
O: 0.6474 0.6434 0.1359  1 U 2.12, 1 Np 2.15
O: 0.6434 0.9960 0.8641  1 U 2.12, 1 Np 2.15
O: 0.0040 0.6474 0.8641  1 U 2.12, 1 Np 2.15
O: 0.6434 0.6474 0.6359  1 U 2.12, 1 Np 2.15
O: 0.3526 0.3566 0.8641  1 U 2.12, 1 Np 2.15
O: 0.9960 0.3526 0.1359  1 U 2.12, 1 Np 2.15
O: 0.3526 0.9960 0.6359  1 U 2.12, 1 Np 2.15
Np: 0.3333 0.6667 0.2500  6 O 2.15
O: 0.6474 0.0040 0.3641  1 U 2.12, 1 Np 2.15
Cu: 0.0000 0.0000 0.0000  6 O 2.39
Np: 0.6667 0.3333 0.7500  6 O 2.15
O: 0.0040 0.3566 0.6359  1 U 2.12, 1 Np 2.15
U: 0.3333 0.6667 0.7500  6 O 2.12
U: 0.6667 0.3333 0.2500  6 O 2.12

Output
The formation energy from raw total energies comes out at -2.353 eV/atom. The calculation puts the spin magnetization at 2.0 μB/f.u.